# 1
Computed, not measured: LaSb after structural relaxation at the PBE-GGA level of DFT.

Computed properties:
Formation energy from raw total energies, eV/atom: -1.06
Magnetization, μB per formula unit: 0.00

Unit cell a=4.4834 b=4.4834 c=4.1112 alpha=90.00 beta=90.00 gamma=120.00
Space group P-6m2 (No. 187)
Asymmetric unit:
La  0.0000  0.0000  0.0000 x1
Sb  0.6667  0.3333  0.5000 x1

=====

# 2
Computed, not measured: Ho2Ga2Cu after structural relaxation at the PBE-GGA level of DFT.

Computed properties:
ΔH_f (0 K), eV/atom: -0.56
Magnetization, μB per formula unit: 0.00

Unit cell a=10.428 b=4.328 c=10.446 alpha=90.00 beta=118.06 gamma=90.00
Space group C2/m (No. 12)
Asymmetric unit:
Ho  0.017  0.000  0.333 x4
Ho  0.187  0.000  0.108 x4
Ga  0.020  0.500  0.884 x4
Ga  0.144  0.500  0.563 x4
Cu  0.227  0.500  0.346 x4

=====

# 3
Computed, not measured: AgGeTe2N after structural relaxation at the PBE-GGA level of DFT.

Computed properties:
Polymorph energy (0 for the lowest one), meV/atom: 0.0
Formation energy from raw total energies, eV/atom: 0.64
Magnetization, μB per formula unit: 0.00

Unit cell a=5.839 b=5.839 c=3.433 alpha=90.00 beta=90.00 gamma=90.00
Space group P4/mmm (No. 123)
Asymmetric unit:
Ag  0.000  0.000  0.000 x1
Ge  0.500  0.500  0.500 x1
Te  0.000  0.500  0.500 x2
N  0.500  0.500  0.000 x1

=====

# 4
Computed, not measured: Ga2CuPd3 after structural relaxation at the PBE-GGA level of DFT.

Computed properties:
Polymorph energy (0 for the lowest one), meV/atom: 0.0
ΔH_f (0 K), eV/atom: -0.49
Magnetization, μB per formula unit: 0.00

Unit cell a=5.173 b=13.336 c=5.260 alpha=90.00 beta=90.00 gamma=90.00
Space group Ibam (No. 72)
Asymmetric unit:
Ga  0.233  0.135  0.000 x8
Cu  0.000  0.500  0.250 x4
Pd  0.000  0.000  0.250 x4
Pd  0.221  0.323  0.000 x8

=====

Here are the calculated total DFT energy (no corrections) numbers, same order: -0.4104 -0.3248 -0.2773 -0.3513 (Ry per atom).